(1)
4
Lattice="9.657 0.010 0.006 9.216 2.886 0.006 9.216 1.414 2.516" Properties=species:S:1:pos:R:3 comment="TaPtAu2, relaxed, DFT PBE" m_tot_mub_per_fu=0.00 energy_ev_per_atom=-6.249 rho_g_cm3=18.340 ef_ev_per_fu=-0.5 de_polymorph_ev_per_atom=0.1306 pbc="T T T"
Au 0.066 0.010 0.006
Au 6.995 1.073 0.629
Pt 13.941 2.139 1.254
Ta 21.131 3.242 1.901

---

(2)
4
Lattice="-1.876 -2.028 -0.727 3.056 -3.429 1.679 -2.130 0.335 4.559" Properties=species:S:1:pos:R:3 comment="TaPtAu2, relaxed, DFT PBE" m_tot_mub_per_fu=0.00 energy_ev_per_atom=-6.123 rho_g_cm3=18.149 ef_ev_per_fu=0.0 de_polymorph_ev_per_atom=0.2574 pbc="T T T"
Au 0.000 0.000 0.000
Au 0.590 -2.728 0.476
Pt -2.003 -0.846 1.916
Ta 0.463 -1.547 3.119

---

(3)
4
Lattice="4.856 -0.031 -0.031 1.190 4.708 0.031 -3.008 -2.358 2.996" Properties=species:S:1:pos:R:3 comment="TaPtAu2, relaxed, DFT PBE" m_tot_mub_per_fu=0.00 energy_ev_per_atom=-6.278 rho_g_cm3=18.639 ef_ev_per_fu=-0.7 de_polymorph_ev_per_atom=0.1020 pbc="T T T"
Au 6.045 4.676 0.000
Au 2.436 -0.025 1.482
Pt 3.025 2.340 0.000
Ta 0.601 2.343 1.514

---

(4)
4
Lattice="2.850 0.000 0.000 0.000 4.963 0.035 0.000 3.299 4.907" Properties=species:S:1:pos:R:3 comment="TaPtAu2, relaxed, DFT PBE" m_tot_mub_per_fu=0.00 energy_ev_per_atom=-6.167 rho_g_cm3=18.508 ef_ev_per_fu=-0.2 de_polymorph_ev_per_atom=0.2135 pbc="T T T"
Au 0.000 0.000 0.000
Au 1.425 2.482 0.018
Pt 1.425 4.131 2.471
Ta 0.000 1.650 2.453

---

(5)
4
Lattice="9.565 0.001 0.000 9.121 2.883 0.000 9.121 1.407 2.516" Properties=species:S:1:pos:R:3 comment="TaPtAu2, relaxed, DFT PBE" m_tot_mub_per_fu=0.00 energy_ev_per_atom=-6.128 rho_g_cm3=18.440 ef_ev_per_fu=-0.1 de_polymorph_ev_per_atom=0.2520 pbc="T T T"
Au 0.015 0.002 0.001
Au 13.889 2.143 1.257
Pt 6.952 1.073 0.629
Ta 20.855 3.218 1.887

---

(6)
5
Lattice="-0.344 0.948 4.753 1.729 -4.427 1.008 4.527 1.763 -0.024" Properties=species:S:1:pos:R:3 comment="Ta3PtAu, relaxed, DFT PBE" m_tot_mub_per_fu=0.00 energy_ev_per_atom=-7.818 rho_g_cm3=13.537 ef_ev_per_fu=5.8 de_polymorph_ev_per_atom=0.0000 pbc="T T T"
Au 2.956 -0.858 2.868
Pt 0.000 0.000 0.000
Ta 0.865 -2.213 0.504
Ta 2.264 0.882 -0.012
Ta -0.172 0.474 2.376

---

(7)
10
Lattice="8.008 0.000 0.000 0.000 8.008 0.000 0.000 0.000 2.805" Properties=species:S:1:pos:R:3 comment="Ta2Pt2Au, relaxed, DFT PBE" m_tot_mub_per_fu=0.00 energy_ev_per_atom=-8.099 rho_g_cm3=17.519 ef_ev_per_fu=-1.4 de_polymorph_ev_per_atom=0.1475 pbc="T T T"
Au 0.000 0.000 0.000
Au 4.004 4.004 0.000
Pt 1.033 5.037 1.403
Pt 5.037 6.975 1.403
Pt 6.975 2.971 1.403
Pt 2.971 1.033 1.403
Ta 2.691 6.695 0.000
Ta 6.695 5.318 0.000
Ta 5.318 1.314 0.000
Ta 1.314 2.691 0.000

---

(8)
4
Lattice="2.920 0.000 0.000 0.000 4.032 0.000 0.000 0.000 5.838" Properties=species:S:1:pos:R:3 comment="TaPtAu2, relaxed, DFT PBE" m_tot_mub_per_fu=0.00 energy_ev_per_atom=-6.199 rho_g_cm3=18.608 ef_ev_per_fu=-0.3 de_polymorph_ev_per_atom=0.1813 pbc="T T T"
Au 0.000 0.000 5.828
Au 0.000 0.000 2.928
Pt 1.460 2.016 1.459
Ta 1.460 2.016 4.378

---

(9)
10
Lattice="7.866 0.000 0.000 0.000 7.866 0.000 0.000 0.000 2.838" Properties=species:S:1:pos:R:3 comment="Ta2Pt2Au, relaxed, DFT PBE" m_tot_mub_per_fu=0.00 energy_ev_per_atom=-8.246 rho_g_cm3=17.948 ef_ev_per_fu=-2.2 de_polymorph_ev_per_atom=0.0000 pbc="T T T"
Au 0.000 0.000 0.000
Au 3.933 3.933 0.000
Pt 2.937 6.870 0.000
Pt 6.870 4.929 0.000
Pt 4.929 0.996 0.000
Pt 0.996 2.937 0.000
Ta 1.328 5.261 1.419
Ta 5.261 6.538 1.419
Ta 6.538 2.605 1.419
Ta 2.605 1.328 1.419

---

(10)
4
Lattice="-0.617 -4.957 0.044 1.279 -1.845 -4.463 2.398 3.071 3.127" Properties=species:S:1:pos:R:3 comment="TaPtAu2, relaxed, DFT PBE" m_tot_mub_per_fu=0.00 energy_ev_per_atom=-6.262 rho_g_cm3=18.710 ef_ev_per_fu=-0.6 de_polymorph_ev_per_atom=0.1180 pbc="T T T"
Au 0.000 0.000 0.000
Au 0.331 -3.401 -2.209
Pt 1.056 -2.644 0.481
Ta 2.004 -1.088 -1.772

---

(11)
4
Lattice="-1.857 -2.417 2.291 2.244 0.004 1.824 -0.289 4.910 4.945" Properties=species:S:1:pos:R:3 comment="TaPtAu2, relaxed, DFT PBE" m_tot_mub_per_fu=0.00 energy_ev_per_atom=-6.324 rho_g_cm3=18.282 ef_ev_per_fu=-0.8 de_polymorph_ev_per_atom=0.0556 pbc="T T T"
Au -0.277 4.878 4.922
Au -0.454 0.047 2.855
Pt 0.934 2.550 3.448
Ta 0.583 2.388 6.166

---

(12)
5
Lattice="-1.890 1.890 6.606 1.890 -1.890 6.606 1.890 1.890 -6.606" Properties=species:S:1:pos:R:3 comment="Ta2Pt2Au, relaxed, DFT PBE" m_tot_mub_per_fu=0.00 energy_ev_per_atom=-7.805 rho_g_cm3=16.690 ef_ev_per_fu=0.0 de_polymorph_ev_per_atom=0.4411 pbc="T T T"
Ta 0.000 0.000 8.000
Ta 0.000 0.000 5.213
Pt 1.890 0.000 3.303
Pt 0.000 1.890 3.303
Au 0.000 0.000 0.000

---

(13)
11
Lattice="4.007 0.210 -0.158 -0.445 6.636 -2.466 0.268 0.212 7.085" Properties=species:S:1:pos:R:3 comment="TaPt8Au2, relaxed, DFT PBE" m_tot_mub_per_fu=0.00 energy_ev_per_atom=-6.183 rho_g_cm3=18.536 ef_ev_per_fu=-1.3 pbc="T T T"
Ta 2.004 0.105 -0.079
Pt 3.772 6.704 2.505
Pt 3.948 5.114 4.868
Pt 1.885 4.719 3.033
Pt 2.109 1.788 4.819
Pt 1.722 5.270 -0.358
Pt 1.946 2.339 1.428
Pt -0.118 1.944 -0.407
Pt 0.059 0.354 1.957
Au -0.176 4.213 1.136
Au -0.001 2.635 3.483

---

(14)
4
Lattice="-3.843 -1.028 2.295 -3.954 2.059 -1.104 -3.336 -2.390 -2.061" Properties=species:S:1:pos:R:3 comment="TaPtAu2, relaxed, DFT PBE" m_tot_mub_per_fu=0.00 energy_ev_per_atom=-6.199 rho_g_cm3=18.672 ef_ev_per_fu=-0.3 de_polymorph_ev_per_atom=0.1814 pbc="T T T"
Au -2.783 -0.340 -0.218
Au -8.349 -1.019 -0.653
Pt -5.566 -0.680 -0.435
Ta 0.000 0.000 0.000

---

(15)
5
Lattice="-0.621 -2.917 -3.815 4.124 -2.295 1.083 -2.461 -3.110 2.778" Properties=species:S:1:pos:R:3 comment="TaPt3Au, relaxed, DFT PBE" m_tot_mub_per_fu=0.00 energy_ev_per_atom=-4.990 rho_g_cm3=14.087 ef_ev_per_fu=8.3 de_polymorph_ev_per_atom=0.6761 pbc="T T T"
Au 0.000 0.000 0.000
Pt 2.062 -1.148 0.542
Pt -1.230 -1.555 1.389
Pt -0.311 -1.458 -1.907
Ta 0.521 -4.161 0.024

---

(16)
8
Lattice="-3.462 -1.654 1.288 -0.888 -1.095 -3.794 5.949 -5.636 2.394" Properties=species:S:1:pos:R:3 comment="TaPt5Au2, relaxed, DFT PBE" m_tot_mub_per_fu=0.00 energy_ev_per_atom=-6.458 rho_g_cm3=19.539 ef_ev_per_fu=-3.1 pbc="T T T"
Ta 0.000 0.000 0.000
Pt -2.175 -1.375 -1.253
Pt 1.158 -6.193 1.517
Pt 2.445 -5.913 -1.024
Pt 0.442 -2.193 -1.629
Pt -0.845 -2.473 0.912
Au -0.324 -4.813 -0.693
Au 1.924 -3.573 0.582

---

(17)
8
Lattice="7.496 0.000 0.000 0.000 7.496 0.000 3.748 3.748 2.700" Properties=species:S:1:pos:R:3 comment="TaPtAu2, relaxed, DFT PBE" m_tot_mub_per_fu=0.00 energy_ev_per_atom=-5.800 rho_g_cm3=16.852 ef_ev_per_fu=1.2 de_polymorph_ev_per_atom=0.5802 pbc="T T T"
Au 5.579 1.874 0.675
Au 1.917 5.622 0.675
Au 5.622 5.665 2.025
Au 9.370 9.327 2.025
Pt 0.000 0.000 0.000
Pt 7.496 3.748 1.350
Ta 3.748 3.748 0.000
Ta 3.748 7.496 1.350

---

(18)
4
Lattice="-2.129 1.489 1.350 -0.301 -2.181 1.930 5.446 3.465 4.763" Properties=species:S:1:pos:R:3 comment="TaPtAu2, relaxed, DFT PBE" m_tot_mub_per_fu=0.00 energy_ev_per_atom=-6.178 rho_g_cm3=18.593 ef_ev_per_fu=-0.3 de_polymorph_ev_per_atom=0.2024 pbc="T T T"
Au 5.433 3.457 4.752
Au 2.735 1.740 2.392
Pt 0.147 0.520 2.831
Ta 2.869 2.253 5.213

---

(19)
4
Lattice="5.055 0.000 -0.009 4.232 2.765 -0.009 0.747 0.222 4.902" Properties=species:S:1:pos:R:3 comment="TaPtAu2, relaxed, DFT PBE" m_tot_mub_per_fu=0.00 energy_ev_per_atom=-6.289 rho_g_cm3=18.657 ef_ev_per_fu=-0.7 de_polymorph_ev_per_atom=0.0911 pbc="T T T"
Au 0.783 0.233 4.878
Au 4.981 1.483 2.465
Pt 2.509 0.747 1.221
Ta 7.526 2.240 3.663

---

(20)
4
Lattice="-1.698 -1.794 -1.539 -0.597 -1.508 2.416 -6.439 4.858 1.441" Properties=species:S:1:pos:R:3 comment="TaPtAu2, relaxed, DFT PBE" m_tot_mub_per_fu=0.00 energy_ev_per_atom=-6.380 rho_g_cm3=18.425 ef_ev_per_fu=-1.1 de_polymorph_ev_per_atom=0.0000 pbc="T T T"
Au -6.371 4.807 1.426
Au -2.787 -0.414 0.805
Pt -3.322 2.506 0.743
Ta -5.913 1.944 1.505

---

(21)
4
Lattice="-2.194 4.165 2.101 -2.828 -4.308 0.127 1.155 -0.683 2.560" Properties=species:S:1:pos:R:3 comment="TaPtAu2, relaxed, DFT PBE" m_tot_mub_per_fu=0.00 energy_ev_per_atom=-6.082 rho_g_cm3=18.451 ef_ev_per_fu=0.1 de_polymorph_ev_per_atom=0.2985 pbc="T T T"
Au 0.000 0.000 0.000
Au -2.511 -0.072 1.114
Pt -0.520 1.741 2.331
Ta -0.836 -2.496 1.344

---

(22)
12
Lattice="-1.455 -2.609 -2.673 3.218 -2.333 0.526 -5.683 -5.854 8.808" Properties=species:S:1:pos:R:3 comment="Ta2Pt9Au, relaxed, DFT PBE" m_tot_mub_per_fu=0.00 energy_ev_per_atom=-7.310 rho_g_cm3=19.919 ef_ev_per_fu=-6.4 pbc="T T T"
Ta -1.856 -1.912 2.877
Ta -3.827 -3.942 5.931
Pt 0.881 -2.471 -1.074
Pt -1.041 -4.451 1.905
Pt -2.880 -6.346 4.755
Pt -1.729 -2.337 0.216
Pt -3.569 -4.232 3.067
Pt -5.409 -6.127 5.918
Pt 0.607 -2.198 1.815
Pt -1.233 -4.094 4.667
Pt -3.072 -5.989 7.518
Au 0.000 0.000 0.000

---

(23)
4
Lattice="-0.755 2.046 4.198 -3.654 -1.243 -0.052 1.081 -3.251 1.779" Properties=species:S:1:pos:R:3 comment="TaPtAu2, relaxed, DFT PBE" m_tot_mub_per_fu=0.00 energy_ev_per_atom=-6.037 rho_g_cm3=18.135 ef_ev_per_fu=0.3 de_polymorph_ev_per_atom=0.3431 pbc="T T T"
Au 0.000 0.000 0.000
Au -1.287 -2.247 0.864
Pt -2.205 0.401 2.073
Ta 0.163 -0.603 2.989

---

(24)
5
Lattice="4.866 0.000 0.000 0.000 4.866 0.000 0.000 0.000 4.866" Properties=species:S:1:pos:R:3 comment="TaPt3Au, relaxed, DFT PBE" m_tot_mub_per_fu=0.00 energy_ev_per_atom=-5.666 rho_g_cm3=13.885 ef_ev_per_fu=4.9 de_polymorph_ev_per_atom=0.0000 pbc="T T T"
Au 2.433 2.433 2.433
Pt 0.000 2.433 0.000
Pt 0.000 0.000 2.433
Pt 2.433 0.000 0.000
Ta 0.000 0.000 0.000

---

(25)
4
Lattice="-3.403 1.903 -3.072 -1.429 0.559 -4.721 -3.053 -4.016 -0.381" Properties=species:S:1:pos:R:3 comment="TaPtAu2, relaxed, DFT PBE" m_tot_mub_per_fu=0.00 energy_ev_per_atom=-6.285 rho_g_cm3=18.594 ef_ev_per_fu=-0.7 de_polymorph_ev_per_atom=0.0955 pbc="T T T"
Au -0.022 0.010 -0.035
Au -1.945 -0.372 -2.026
Pt -3.979 -0.875 -4.050
Ta -5.883 -1.095 -6.150

---

(26)
5
Lattice="5.046 0.000 0.000 0.000 5.028 0.000 0.000 0.000 5.046" Properties=species:S:1:pos:R:3 comment="TaTlPtAu2, relaxed, DFT PBE" m_tot_mub_per_fu=2.53 energy_ev_per_atom=-3.799 rho_g_cm3=12.638 ef_ev_per_fu=7.8 pbc="T T T"
Tl 0.000 0.000 0.000
Au 0.000 0.000 2.523
Au 2.523 0.000 0.000
Pt 0.000 2.514 0.000
Ta 2.523 2.514 2.523

---

(27)
5
Lattice="-3.912 1.414 -2.594 1.288 -2.738 -3.435 -2.613 -3.665 1.942" Properties=species:S:1:pos:R:3 comment="Ta2VPtAu, relaxed, DFT PBE" m_tot_mub_per_fu=0.00 energy_ev_per_atom=-6.787 rho_g_cm3=12.151 ef_ev_per_fu=8.2 pbc="T T T"
V 0.644 -1.369 -1.718
Au 0.000 0.000 0.000
Pt -2.618 -2.494 -2.044
Ta -1.306 -1.833 0.971
Ta -1.956 0.707 -1.297